Hf5ZrSn3: optimized geometry, PBE.

Properties
- DOS(E_F) (states/eV/cell) = 23.52
- spin magnetization (μB per cell) = 0.000
- DFT formation energy (meV per atom) = 198

Unit cell a=13.418 b=8.317 c=10.379 alpha=90.00 beta=124.05 gamma=90.00
Space group C2/m (No. 12)
Inequivalent atoms, fractional coordinates:
Hf1 0.000 0.167 0.000 x4
Hf2 0.052 0.000 0.302 x4
Hf3 0.086 0.319 0.801 x8
Hf4 0.203 0.000 0.947 x4
Zr1 0.157 0.500 0.392 x4
Sn1 0.000 0.500 0.000 x2
Sn2 0.000 0.500 0.500 x2
Sn3 0.131 0.000 0.628 x4
Sn4 0.239 0.000 0.256 x4


Hf2Zr2Sn: optimized geometry, PBE.

Properties
- DOS(E_F) (states/eV/cell) = 9.02
- spin magnetization (μB per cell) = 0.000
- DFT formation energy (meV per atom) = -32

Unit cell a=7.570 b=7.570 c=4.039 alpha=90.00 beta=90.00 gamma=90.00
Space group P4/mbm (No. 127)
Inequivalent atoms, fractional coordinates:
Hf1 0.134 0.366 0.000 x4
Zr1 0.167 0.667 0.500 x4
Sn1 0.000 0.000 0.000 x2


Number 1: polymorph energy (0 for the lowest one) 0.515 eV/atom. Number 2: polymorph energy (0 for the lowest one) 0.022 eV/atom.